1.
Below is an optimized crystal structure of Li4ThAu, with properties calculated at the PBE level.

Results
The magnetic moment comes out at 0.00 μB per formula unit. For the density of states at the Fermi level, the calculation gives 4.810 states/eV per cell. Its space group is F-43m. The value obtained for the total energy is -3.130 eV/atom. The value obtained for the energy of formation from the pure elements is -1.638 kcal/mol of atoms.

a b c (Å): 5.3432 5.3432 5.3432
angles (deg): 60.00 60.00 60.00
Positions (direct):
1 Li 0.3780 0.3780 0.3780
2 Li 0.3780 0.3780 0.8661
3 Li 0.3780 0.8661 0.3780
4 Li 0.8661 0.3780 0.3780
5 Th 0.0000 0.0000 0.0000
6 Au 0.7500 0.7500 0.7500

2.
Below is an optimized crystal structure of Mg8ZnAg6, with properties calculated at the PBE level.

Results
The magnetic moment comes out at 0.00 μB per formula unit. For the density of states at the Fermi level, the calculation gives 7.568 states/eV per cell. Its space group is R-3. The value obtained for the total energy is -2.200 eV/atom. The value obtained for the energy of formation from the pure elements is -2.872 kcal/mol of atoms.

a b c (Å): 7.3167 7.3167 7.3167
angles (deg): 65.97 65.97 65.97
Positions (direct):
1 Mg 0.0467 0.3833 0.7183
2 Mg 0.1653 0.1653 0.1653
3 Mg 0.2817 0.9533 0.6167
4 Mg 0.3833 0.7183 0.0467
5 Mg 0.6167 0.2817 0.9533
6 Mg 0.7183 0.0467 0.3833
7 Mg 0.8347 0.8347 0.8347
8 Mg 0.9533 0.6167 0.2817
9 Zn 0.5000 0.5000 0.5000
10 Ag 0.1237 0.7767 0.4507
11 Ag 0.2233 0.5493 0.8763
12 Ag 0.4507 0.1237 0.7767
13 Ag 0.5493 0.8763 0.2233
14 Ag 0.7767 0.4507 0.1237
15 Ag 0.8763 0.2233 0.5493

3.
Below is an optimized crystal structure of UZn5, with properties calculated at the PBE level.

Results
The magnetic moment comes out at 2.74 μB per formula unit. For the density of states at the Fermi level, the calculation gives 6.231 states/eV per cell. Its space group is Cmmm. The value obtained for the total energy is -2.787 eV/atom. The value obtained for the energy of formation from the pure elements is 3.589 kcal/mol of atoms.

a b c (Å): 5.9377 5.9377 4.4511
angles (deg): 90.00 90.00 136.42
Positions (direct):
1 U 0.0000 0.0000 0.0000
2 Zn 0.1770 0.8230 0.5000
3 Zn 0.3147 0.6853 0.0000
4 Zn 0.5000 0.5000 0.5000
5 Zn 0.6853 0.3147 0.0000
6 Zn 0.8230 0.1770 0.5000

4.
Below is an optimized crystal structure of LiTlInSb, with properties calculated at the PBE level.

Results
As for the raw formation energy: -0.128 eV/atom. The magnetic moment comes out at 0.00 μB per formula unit. For the density of states at the Fermi level, the calculation gives 0.933 states/eV per cell. As for the offset from the most stable computed form: 0.020 eV per atom. Its space group is F-43m. The value obtained for the total energy is -2.913 eV/atom.

a b c (Å): 5.3207 5.3207 5.3207
angles (deg): 60.00 60.00 60.00
Positions (direct):
1 Li 0.0000 0.0000 0.0000
2 Tl 0.2500 0.2500 0.2500
3 In 0.5000 0.5000 0.5000
4 Sb 0.7500 0.7500 0.7500

5.
Below is an optimized crystal structure of HgSe, with properties calculated at the PBE level.

Results
As for the raw formation energy: -0.186 eV/atom. The magnetic moment comes out at 0.00 μB per formula unit. For the density of states at the Fermi level, the calculation gives 0.779 states/eV per cell. Its space group is P4_2/mnm. The value obtained for the total energy is -2.080 eV/atom.

a b c (Å): 7.6621 7.6621 4.4127
angles (deg): 90.00 90.00 90.00
Positions (direct):
1 Hg 0.1836 0.1836 0.0000
2 Hg 0.3164 0.6836 0.5000
3 Hg 0.6836 0.3164 0.5000
4 Hg 0.8164 0.8164 0.0000
5 Se 0.1772 0.8228 0.0000
6 Se 0.3228 0.3228 0.5000
7 Se 0.6772 0.6772 0.5000
8 Se 0.8228 0.1772 0.0000

6.
Below is an optimized crystal structure of MnCuC, with properties calculated at the PBE level.

Results
The magnetic moment comes out at 0.85 μB per formula unit. For the density of states at the Fermi level, the calculation gives 4.468 states/eV per cell. Its space group is P4/nmm. The value obtained for the total energy is -6.713 eV/atom. The value obtained for the energy of formation from the pure elements is 18.070 kcal/mol of atoms.

a b c (Å): 3.0329 3.0329 6.6016
angles (deg): 90.00 90.00 90.00
Positions (direct):
1 Mn 0.2500 0.2500 0.0919
2 Mn 0.7500 0.7500 0.9081
3 Cu 0.2500 0.2500 0.6619
4 Cu 0.7500 0.7500 0.3381
5 C 0.2500 0.2500 0.3559
6 C 0.7500 0.7500 0.6441